VASP calculation (PBE-GGA) on a relaxed CaTl2Cd6 crystal.

```
CaTl2Cd6
1.0
-0.700 4.908 1.230
-1.120 0.733 6.184
7.086 1.132 4.386
Cd Tl Ca
6 2 1
direct
0.178 0.480 0.342
0.307 0.381 0.000
0.822 0.520 0.658
0.178 0.822 0.658
0.693 0.619 0.000
0.822 0.178 0.342
0.500 0.152 0.697
0.500 0.848 0.303
0.000 0.000 0.000
```

Computed properties:
Its space group is C2/m, No. 12. The value obtained for the energy above the most stable polymorph in this dataset is 1.3 kJ/mol of atoms. Its total energy is -1.423 eV/atom. The value obtained for the calculated formation energy is -65.0 meV per atom. As for the density of states at the Fermi level: 0.385 states/eV per atom.